Entry from Alexandria via LeMat-Bulk: crystalline RhW3C at its relaxed geometry (PBE).

* energy above the lowest structure with this stoichiometry: 3147 meV/atom

abc: 4.687 4.687 4.687
angles: 90.00 90.00 90.00
Positions (direct):
C 0.500 0.500 0.500
Rh 0.000 0.000 0.000
W 0.000 0.500 0.000
W 0.000 0.000 0.500
W 0.500 0.000 0.000

Entry from Alexandria via LeMat-Bulk: crystalline RhWC3 at its relaxed geometry (PBE).

* energy above the lowest structure with this stoichiometry: 591 meV/atom

abc: 3.896 3.896 3.896
angles: 90.00 90.00 90.00
Positions (direct):
C 0.000 0.500 0.000
C 0.000 0.000 0.500
C 0.500 0.000 0.000
Rh 0.000 0.000 0.000
W 0.500 0.500 0.500

Entry from Alexandria via LeMat-Bulk: crystalline RhWC3 at its relaxed geometry (PBE).

* energy above the lowest structure with this stoichiometry: 0 meV/atom

abc: 4.053 4.053 4.053
angles: 90.00 90.00 90.00
Positions (direct):
C 0.000 0.500 0.000
C 0.000 0.000 0.500
C 0.500 0.000 0.000
Rh 0.500 0.500 0.500
W 0.000 0.000 0.000

Entry from Alexandria via LeMat-Bulk: crystalline ZrRhW2C at its relaxed geometry (PBE).

abc: 4.107 4.545 4.107
angles: 90.00 90.00 90.00
Positions (direct):
C 0.000 0.000 0.000
Rh 0.500 0.500 0.500
Zr 0.000 0.500 0.000
W 0.000 0.000 0.500
W 0.500 0.000 0.000

Entry from Alexandria via LeMat-Bulk: crystalline Y3RhC at its relaxed geometry (PBE).

* energy above the lowest structure with this stoichiometry: 0 meV/atom

abc: 4.817 4.817 4.817
angles: 90.00 90.00 90.00
Positions (direct):
Y 0.000 0.500 0.000
Y 0.000 0.000 0.500
Y 0.500 0.000 0.000
C 0.000 0.000 0.000
Rh 0.500 0.500 0.500

Entry from Alexandria via LeMat-Bulk: crystalline Y2RhC at its relaxed geometry (PBE).

abc: 6.875 6.875 5.966
angles: 54.82 54.82 90.00
Positions (direct):
Y 0.574 0.125 0.250
Y 0.176 0.625 0.250
Y 0.375 0.426 0.750
Y 0.875 0.824 0.750
C 0.500 0.500 0.000
C 0.250 0.750 0.500
Rh 0.000 0.000 0.000
Rh 0.750 0.250 0.500

Entry from Alexandria via LeMat-Bulk: crystalline Y6Rh2C at its relaxed geometry (PBE).

abc: 6.550 7.126 9.463
angles: 90.00 91.23 90.00
Positions (direct):
Y 0.881 0.958 0.256
Y 0.829 0.697 0.562
Y 0.809 0.673 0.942
Y 0.691 0.173 0.558
Y 0.671 0.197 0.938
Y 0.619 0.458 0.244
Y 0.119 0.042 0.744
Y 0.171 0.303 0.438
Y 0.191 0.327 0.058
Y 0.309 0.827 0.442
Y 0.329 0.803 0.062
Y 0.381 0.542 0.756
Rh 0.965 0.406 0.755
Rh 0.535 0.906 0.745
Rh 0.465 0.094 0.255
Rh 0.035 0.594 0.245
C 0.500 0.500 0.000
C 0.000 0.000 0.500

Entry from Alexandria via LeMat-Bulk: crystalline Y2Rh4C at its relaxed geometry (PBE).

abc: 4.136 4.136 7.716
angles: 74.45 74.45 90.00
Positions (direct):
Y 0.657 0.657 0.686
Y 0.343 0.343 0.314
C 0.000 0.000 0.000
Rh 0.857 0.857 0.286
Rh 0.143 0.143 0.714
Rh 0.000 0.500 0.000
Rh 0.500 0.000 0.000

Energy of formation from the pure elements values (in kcal/mol of atoms) by entry order: 75.33 61.53 47.91 -2.42 -6.50 0.09 -11.87 -9.67.
VASP energy values (in eV per cell) by entry order: -39.10 -34.63 -37.59 -51.55 -37.38 -58.98 -134.69 -54.49.